Below is a relaxed structure of CaZr2Nb2, with properties calculated at the PBE-GGA level.

Cell lengths 8.410, 8.410, 3.332 Å; angles 90.00, 90.00, 90.00 degrees
Element x y z (fractional)
Nb1 0.114 0.386 0.000
Ca1 0.000 0.000 0.000
Zr1 0.321 0.179 0.500
Nb2 0.386 0.886 0.000
Zr2 0.179 0.679 0.500
Nb3 0.614 0.114 0.000
Zr3 0.821 0.321 0.500
Ca2 0.500 0.500 0.000
Zr4 0.679 0.821 0.500
Nb4 0.886 0.614 0.000

Calculated values
spin magnetization	0.00	μB/cell
D(E_F)	5.1	states/eV/f.u.
energy of formation	0.298	eV/atom
symmetry	P4/mbm
calculated volume	23.57	Å³/atom
electronic total energy	-7.550	eV/atom

Below is a relaxed structure of ScAlRh2, with properties calculated at the PBE-GGA level.

Cell lengths 5.207, 5.207, 5.207 Å; angles 138.37, 138.37, 60.34 degrees
Element x y z (fractional)
Rh1 0.000 0.000 0.000
Sc1 0.500 0.500 0.000
Al1 0.750 0.250 0.500
Rh2 0.250 0.750 0.500

Calculated values
spin magnetization	0.00	μB/cell
D(E_F)	3.2	states/eV/f.u.
energy of formation	-0.875	eV/atom
symmetry	I-4m2
calculated volume	15.42	Å³/atom
electronic total energy	-7.070	eV/atom

Below is a relaxed structure of CoSiAg2, with properties calculated at the PBE-GGA level.

Cell lengths 3.669, 3.669, 9.862 Å; angles 79.28, 79.28, 90.00 degrees
Element x y z (fractional)
Ag1 0.625 0.125 0.250
Ag2 0.125 0.625 0.250
Si1 0.250 0.750 0.500
Si2 0.500 0.500 0.000
Co1 0.750 0.250 0.500
Ag3 0.875 0.875 0.750
Co2 0.000 0.000 0.000
Ag4 0.375 0.375 0.750

Calculated values
formation energy without anion corrections	193.8	kJ/mol of formula units
spin magnetization	0.00	μB/cell
D(E_F)	2.4	states/eV/f.u.
symmetry	I-42d
calculated volume	16.01	Å³/atom
electronic total energy	-4.056	eV/atom

Below is a relaxed structure of ErGe6S8, with properties calculated at the PBE-GGA level.

Cell lengths 7.366, 7.366, 7.366 Å; angles 76.93, 76.93, 76.93 degrees
Element x y z (fractional)
Ge1 0.604 0.130 0.361
S1 0.322 0.132 0.808
S2 0.808 0.322 0.132
Er1 0.000 0.000 0.000
S3 0.678 0.868 0.192
Ge2 0.130 0.361 0.604
Ge3 0.361 0.604 0.130
Ge4 0.396 0.870 0.639
S4 0.868 0.192 0.678
S5 0.192 0.678 0.868
Ge5 0.870 0.639 0.396
Ge6 0.639 0.396 0.870
S6 0.132 0.808 0.322
S7 0.711 0.711 0.711
S8 0.289 0.289 0.289

Calculated values
formation energy without anion corrections	-676.0	kJ/mol of formula units
spin magnetization	0.00	μB/cell
D(E_F)	7.0	states/eV/f.u.
symmetry	R-3
calculated volume	24.85	Å³/atom
electronic total energy	-4.820	eV/atom

Below is a relaxed structure of Ac2PaSn, with properties calculated at the PBE-GGA level.

Cell lengths 4.060, 4.060, 8.274 Å; angles 90.00, 90.00, 90.00 degrees
Element x y z (fractional)
Ac1 0.000 0.000 0.768
Ac2 0.000 0.000 0.232
Sn1 0.500 0.500 0.000
Pa1 0.500 0.500 0.500

Calculated values
spin magnetization	0.00	μB/cell
D(E_F)	6.4	states/eV/f.u.
energy of formation	0.077	eV/atom
excess energy over the best structure of this formula in the dataset	29	kJ/mol of formula units
symmetry	P4/mmm
calculated volume	34.10	Å³/atom
electronic total energy	-5.352	eV/atom

Below is a relaxed structure of EuHo, with properties calculated at the PBE-GGA level.

Cell lengths 4.121, 4.121, 4.121 Å; angles 90.00, 90.00, 90.00 degrees
Element x y z (fractional)
Ho1 0.500 0.500 0.500
Eu1 0.000 0.000 0.000

Calculated values
spin magnetization	7.33	μB/cell
D(E_F)	3.1	states/eV/f.u.
energy of formation	0.175	eV/atom
excess energy over the best structure of this formula in the dataset	9	kJ/mol of formula units
symmetry	Pm-3m
calculated volume	34.98	Å³/atom
electronic total energy	-7.251	eV/atom

Below is a relaxed structure of Tl3CdN, with properties calculated at the PBE-GGA level.

Cell lengths 5.062, 5.062, 5.062 Å; angles 90.00, 90.00, 90.00 degrees
Element x y z (fractional)
Tl1 0.500 0.000 0.000
Tl2 0.000 0.000 0.500
Tl3 0.000 0.500 0.000
Cd1 0.500 0.500 0.500
N1 0.000 0.000 0.000

Calculated values
formation energy without anion corrections	303.3	kJ/mol of formula units
spin magnetization	0.00	μB/cell
D(E_F)	3.0	states/eV/f.u.
excess energy over the best structure of this formula in the dataset	0	kJ/mol of formula units
symmetry	Pm-3m
calculated volume	25.94	Å³/atom
electronic total energy	-2.639	eV/atom

Below is a relaxed structure of AcNd12Co6, with properties calculated at the PBE-GGA level.

Cell lengths 8.813, 8.813, 8.813 Å; angles 109.47, 109.47, 109.47 degrees
Element x y z (fractional)
Nd1 0.882 0.195 0.686
Nd2 0.118 0.805 0.314
Nd3 0.195 0.314 0.509
Nd4 0.805 0.686 0.491
Co1 0.890 0.390 0.500
Co2 0.500 0.110 0.610
Nd5 0.686 0.882 0.195
Ac1 0.000 0.000 0.000
Co3 0.110 0.610 0.500
Nd6 0.314 0.509 0.195
Co4 0.610 0.500 0.110
Nd7 0.314 0.118 0.805
Co5 0.390 0.500 0.890
Nd8 0.686 0.491 0.805
Nd9 0.805 0.314 0.118
Nd10 0.195 0.686 0.882
Co6 0.500 0.890 0.390
Nd11 0.491 0.805 0.686
Nd12 0.509 0.195 0.314

Calculated values
spin magnetization	0.00	μB/cell
D(E_F)	16.9	states/eV/f.u.
energy of formation	-0.042	eV/atom
symmetry	Im-3
calculated volume	27.73	Å³/atom
electronic total energy	-5.513	eV/atom

Below is a relaxed structure of Rb2LaTlBr6, with properties calculated at the PBE-GGA level.

Cell lengths 8.655, 8.655, 8.657 Å; angles 60.01, 60.01, 90.00 degrees
Element x y z (fractional)
Br1 0.739 0.739 0.000
Br2 0.261 0.261 0.478
Br3 0.261 0.739 0.000
La1 0.500 0.500 0.000
Br4 0.739 0.261 0.000
Tl1 0.000 0.000 0.000
Br5 0.261 0.261 0.000
Rb1 0.750 0.250 0.500
Br6 0.739 0.739 0.522
Rb2 0.250 0.750 0.500

Calculated values
formation energy without anion corrections	-1575.5	kJ/mol of formula units
spin magnetization	0.00	μB/cell
D(E_F)	0.0	states/eV/f.u.
excess energy over the best structure of this formula in the dataset	64	kJ/mol of formula units
symmetry	Fm-3m
calculated volume	45.86	Å³/atom
electronic total energy	-3.559	eV/atom

Below is a relaxed structure of TlZn5, with properties calculated at the PBE-GGA level.

Cell lengths 6.530, 6.530, 6.552 Å; angles 69.86, 69.86, 25.75 degrees
Element x y z (fractional)
Zn1 0.802 0.802 0.937
Zn2 0.028 0.028 0.611
Zn3 0.685 0.685 0.664
Zn4 0.370 0.370 0.559
Zn5 0.253 0.253 0.285
Tl1 0.027 0.027 0.111

Calculated values
spin magnetization	0.00	μB/cell
D(E_F)	1.7	states/eV/f.u.
energy of formation	0.108	eV/atom
symmetry	Cm
calculated volume	18.92	Å³/atom
electronic total energy	-1.348	eV/atom

Below is a relaxed structure of CsPmBr4, with properties calculated at the PBE-GGA level.

Cell lengths 7.205, 8.074, 9.643 Å; angles 105.42, 111.97, 90.00 degrees
Element x y z (fractional)
Br1 0.719 0.442 0.192
Br2 0.472 0.942 0.192
Cs1 0.804 0.750 0.000
Pm1 0.000 0.500 0.500
Br3 0.122 0.156 0.393
Br4 0.878 0.844 0.607
Pm2 0.500 0.000 0.500
Br5 0.728 0.344 0.607
Br6 0.281 0.558 0.808
Cs2 0.196 0.250 0.000
Br7 0.272 0.656 0.393
Br8 0.528 0.058 0.808

Calculated values
formation energy without anion corrections	-1069.7	kJ/mol of formula units
spin magnetization	0.00	μB/cell
D(E_F)	0.0	states/eV/f.u.
excess energy over the best structure of this formula in the dataset	0	kJ/mol of formula units
symmetry	C2/c
calculated volume	41.53	Å³/atom
electronic total energy	-3.897	eV/atom

Below is a relaxed structure of CuSiGe, with properties calculated at the PBE-GGA level.

Cell lengths 4.113, 4.113, 4.113 Å; angles 60.00, 60.00, 60.00 degrees
Element x y z (fractional)
Ge1 0.500 0.500 0.500
Si1 0.000 0.000 0.000
Cu1 0.250 0.250 0.250

Calculated values
formation energy without anion corrections	53.0	kJ/mol of formula units
spin magnetization	0.00	μB/cell
D(E_F)	0.8	states/eV/f.u.
symmetry	F-43m
calculated volume	16.40	Å³/atom
electronic total energy	-4.529	eV/atom

- What is the formula in the twelfth record?
  CuSiGe

- Among the records above, which one has the lowest electronic total energy?
  CaZr2Nb2